No. 1
Below is a relaxed BaRh2Se crystal, with properties calculated at the PBE-GGA level.

a = 4.283 Å, b = 4.283 Å, c = 5.252 Å
α = 90.00°, β = 90.00°, γ = 90.00°
Space group P4mm (No. 99)
Inequivalent atoms, fractional coordinates:
Ba (0.000, 0.000, 0.000) [1 per cell]
Rh (0.000, 0.500, 0.468) [2 per cell]
Se (0.500, 0.500, 0.666) [1 per cell]

The value obtained for the total DFT energy (no corrections) is -5.5512 eV/atom. The calculation puts the formation energy from raw total energies at -0.5236 eV per atom.

=====

No. 2
Below is a relaxed K2MnIr crystal, with properties calculated at the PBE-GGA level.

a = 3.064 Å, b = 4.153 Å, c = 19.901 Å
α = 90.00°, β = 90.00°, γ = 90.00°
Space group Immm (No. 71)
Inequivalent atoms, fractional coordinates:
K (0.000, 0.000, 0.145) [4 per cell]
Mn (0.000, 0.500, 0.000) [2 per cell]
Ir (0.000, 0.500, 0.500) [2 per cell]

The value obtained for the total DFT energy (no corrections) is -4.6136 eV/atom. The value obtained for the excess energy over the best structure of this formula in the dataset is 9 meV/atom. The energy of formation from the pure elements comes out at 0.443 eV per atom.

=====

No. 3
Below is a relaxed AcNdTlCu crystal, with properties calculated at the PBE-GGA level.

a = 7.794 Å, b = 7.794 Å, c = 7.794 Å
α = 90.00°, β = 90.00°, γ = 90.00°
Space group F-43m (No. 216)
Inequivalent atoms, fractional coordinates:
Ac (0.000, 0.000, 0.000) [4 per cell]
Nd (0.000, 0.000, 0.500) [4 per cell]
Tl (0.250, 0.250, 0.250) [4 per cell]
Cu (0.250, 0.250, 0.750) [4 per cell]

The value obtained for the total DFT energy (no corrections) is -4.0071 eV/atom. The energy of formation from the pure elements comes out at -0.172 eV per atom.

=====

No. 4
Below is a relaxed CeTmPaCd crystal, with properties calculated at the PBE-GGA level.

a = 7.483 Å, b = 7.483 Å, c = 7.483 Å
α = 90.00°, β = 90.00°, γ = 90.00°
Space group F-43m (No. 216)
Inequivalent atoms, fractional coordinates:
Ce (0.000, 0.000, 0.000) [4 per cell]
Tm (0.000, 0.000, 0.500) [4 per cell]
Pa (0.250, 0.250, 0.750) [4 per cell]
Cd (0.250, 0.250, 0.250) [4 per cell]

The value obtained for the total DFT energy (no corrections) is -4.9771 eV/atom. The energy of formation from the pure elements comes out at 0.227 eV per atom.

=====

No. 5
Below is a relaxed Al3CoS crystal, with properties calculated at the PBE-GGA level.

a = 4.598 Å, b = 4.598 Å, c = 4.598 Å
α = 90.00°, β = 90.00°, γ = 90.00°
Space group Pm-3m (No. 221)
Inequivalent atoms, fractional coordinates:
Al (0.000, 0.000, 0.500) [3 per cell]
Co (0.500, 0.500, 0.500) [1 per cell]
S (0.000, 0.000, 0.000) [1 per cell]

The value obtained for the total DFT energy (no corrections) is -3.7221 eV/atom. The value obtained for the excess energy over the best structure of this formula in the dataset is 754 meV/atom. The calculation puts the formation energy from raw total energies at 0.7701 eV per atom.

=====

No. 6
Below is a relaxed CdTePb2 crystal, with properties calculated at the PBE-GGA level.

a = 4.1831 Å, b = 4.1831 Å, c = 25.6107 Å
α = 90.00°, β = 90.00°, γ = 120.00°
Space group R-3m (No. 166, hexagonal axes)
Inequivalent atoms, fractional coordinates:
Cd (0.0000, 0.0000, 0.0000) [3 per cell]
Te (0.0000, 0.0000, 0.5000) [3 per cell]
Pb (0.0000, 0.0000, 0.2483) [6 per cell]

The value obtained for the total DFT energy (no corrections) is -2.9123 eV/atom. The value obtained for the excess energy over the best structure of this formula in the dataset is 23 meV/atom. The calculation puts the formation energy from raw total energies at -0.0440 eV per atom.

=====

No. 7
Below is a relaxed Nd6HoEr2Tm3 crystal, with properties calculated at the PBE-GGA level.

a = 6.240 Å, b = 10.805 Å, c = 11.757 Å
α = 90.00°, β = 100.16°, γ = 90.00°
Space group C2/m (No. 12)
Inequivalent atoms, fractional coordinates:
Nd (0.250, 0.000, 0.249) [4 per cell]
Nd (0.250, 0.167, 0.751) [8 per cell]
Ho (0.000, 0.000, 0.500) [2 per cell]
Er (0.000, 0.333, 0.500) [4 per cell]
Tm (0.000, 0.167, 0.000) [4 per cell]
Tm (0.000, 0.500, 0.000) [2 per cell]

The value obtained for the total DFT energy (no corrections) is -4.6297 eV/atom. The energy of formation from the pure elements comes out at 0.014 eV per atom.

=====

No. 8
Below is a relaxed Nd2NiGe6 crystal, with properties calculated at the PBE-GGA level.

a = 4.153 Å, b = 4.077 Å, c = 21.903 Å
α = 90.00°, β = 90.00°, γ = 90.00°
Space group Amm2 (No. 38)
Inequivalent atoms, fractional coordinates:
Nd (0.000, 0.000, 0.000) [2 per cell]
Nd (0.000, 0.000, 0.335) [2 per cell]
Ni (0.500, 0.000, 0.559) [2 per cell]
Ge (0.000, 0.000, 0.614) [2 per cell]
Ge (0.000, 0.000, 0.728) [2 per cell]
Ge (0.500, 0.000, 0.114) [2 per cell]
Ge (0.500, 0.000, 0.229) [2 per cell]
Ge (0.500, 0.000, 0.452) [2 per cell]
Ge (0.500, 0.000, 0.880) [2 per cell]

The value obtained for the total DFT energy (no corrections) is -5.3089 eV/atom. The energy of formation from the pure elements comes out at -0.529 eV per atom.